This record from Alexandria via LeMat-Bulk describes an optimized crystal structure of Sc3VIr. The functional is PBE-GGA.

Cell and atoms, written as CIF:
```
data_Sc3VIr
_chemical_formula_sum 'Sc3 V1 Ir1'
_cell_length_a 5.013
_cell_length_b 5.013
_cell_length_c 5.013
_cell_angle_alpha 90.00
_cell_angle_beta 90.00
_cell_angle_gamma 90.00
_symmetry_space_group_name_H-M 'P m -3 m'
_symmetry_Int_Tables_number 221
_symmetry_space_group_name_Hall '-P 4 2 3'
loop_
_atom_site_label
_atom_site_type_symbol
_atom_site_fract_x
_atom_site_fract_y
_atom_site_fract_z
_atom_site_occupancy
Sc1 Sc 0.000 0.000 0.500 1
V1 V 0.500 0.500 0.500 1
Ir1 Ir 0.000 0.000 0.000 1
```

Results
relative energy among the computed polymorphs	0.000	eV/atom
total DFT energy (no corrections)	-7.26	eV per atom
DFT formation energy	0.137	eV/atom